Hf2CuPdPt5 | the Alexandria database | PBE | optimized geometry; crystal system = tetragonal; energy of formation from the pure elements = -0.129 eV/atom
1.0
-3.949 3.949 5.336
3.949 -3.949 5.336
3.949 3.949 -5.336
Hf Cu Pd Pt
4 2 2 10
direct
0.122 0.622 0.745 Hf
0.378 0.122 0.500 Hf
0.622 0.878 0.500 Hf
0.878 0.378 0.255 Hf
0.250 0.250 0.000 Cu
0.750 0.750 0.000 Cu
0.250 0.750 0.500 Pd
0.750 0.250 0.500 Pd
0.000 0.000 0.000 Pt
0.065 0.168 0.500 Pt
0.168 0.668 0.103 Pt
0.332 0.435 0.500 Pt
0.435 0.935 0.103 Pt
0.500 0.500 0.000 Pt
0.565 0.065 0.897 Pt
0.668 0.565 0.500 Pt
0.832 0.332 0.897 Pt
0.935 0.832 0.500 Pt